A plane-wave DFT calculation with GGA-PBE was carried out for MnPb2 after structural relaxation.

VASP energy = -15.41 eV per formula unit
Total moment = 1.277 μB/atom

abc: 3.435 3.435 7.524
angles: 90.00 90.00 120.00
Element x y z (fractional)
Pb  0.333  0.667  0.301
Pb  0.667  0.333  0.699
Mn  0.000  0.000  0.000

***

A plane-wave DFT calculation with GGA-PBE was carried out for KCaRe after structural relaxation.

VASP energy = -9.16 eV per formula unit
Total moment = 0.825 μB/atom
Excess energy over the best structure of this formula in the dataset = 1004 meV per atom

abc: 5.115 5.115 5.115
angles: 60.00 60.00 60.00
Element x y z (fractional)
Re  0.000  0.000  0.000
Ca  0.500  0.500  0.500
K  0.750  0.750  0.750

***

A plane-wave DFT calculation with GGA-PBE was carried out for YTh2CrC4 after structural relaxation.

VASP energy = -68.00 eV per formula unit
Total moment = 0.026 μB/atom

abc: 3.611 6.213 12.636
angles: 90.00 90.00 106.89
Element x y z (fractional)
Th  0.634  0.268  0.455
C  0.400  0.801  0.750
C  0.729  0.458  0.861
Cr  0.174  0.349  0.250
Th  0.366  0.732  0.955
C  0.729  0.458  0.639
Th  0.634  0.268  0.045
Cr  0.826  0.651  0.750
C  0.000  0.000  0.000
C  0.600  0.199  0.250
Y  0.107  0.215  0.750
Th  0.366  0.732  0.545
C  0.271  0.542  0.361
C  0.271  0.542  0.139
C  0.000  0.000  0.500
Y  0.893  0.785  0.250

***

A plane-wave DFT calculation with GGA-PBE was carried out for CrCu4Pt after structural relaxation.

VASP energy = -31.89 eV per formula unit
Total moment = 0.638 μB/atom

abc: 4.809 4.809 4.809
angles: 60.00 60.00 60.00
Element x y z (fractional)
Cu  0.375  0.375  0.375
Cr  0.000  0.000  0.000
Cu  0.375  0.375  0.875
Pt  0.750  0.750  0.750
Cu  0.875  0.375  0.375
Cu  0.375  0.875  0.375

***

A plane-wave DFT calculation with GGA-PBE was carried out for Ti2BeHPt after structural relaxation.

VASP energy = -31.25 eV per formula unit
Total moment = 0.000 μB/atom

abc: 3.887 3.887 3.885
angles: 90.00 90.00 90.00
Element x y z (fractional)
H  0.000  0.000  0.000
Ti  0.000  0.500  0.000
Pt  0.500  0.500  0.500
Ti  0.500  0.000  0.000
Be  0.000  0.000  0.500

***

A plane-wave DFT calculation with GGA-PBE was carried out for Ce2SeO after structural relaxation.

VASP energy = -28.70 eV per formula unit
Total moment = 0.254 μB/atom
Excess energy over the best structure of this formula in the dataset = 130 meV per atom
ΔE_f (raw) = -2.098 eV per atom

abc: 5.630 5.630 10.639
angles: 90.00 90.00 90.00
Element x y z (fractional)
Se  0.250  0.000  0.375
Ce  0.250  0.000  0.101
Se  0.750  0.000  0.625
O  0.751  0.500  0.375
Se  0.750  0.500  0.875
O  0.249  0.500  0.625
Ce  0.750  0.000  0.899
Ce  0.750  0.500  0.149
O  0.249  0.000  0.875
Ce  0.250  0.500  0.851
Se  0.250  0.500  0.125
Ce  0.750  0.500  0.601
Ce  0.750  0.000  0.351
Ce  0.250  0.000  0.649
O  0.751  0.000  0.125
Ce  0.250  0.500  0.399

***

A plane-wave DFT calculation with GGA-PBE was carried out for Rb8Hg2O after structural relaxation.

VASP energy = -17.05 eV per formula unit
Total moment = 0.000 μB/atom
Excess energy over the best structure of this formula in the dataset = 0 meV per atom
ΔE_f (raw) = -0.341 eV per atom

abc: 8.438 9.745 8.954
angles: 87.92 118.11 90.00
Element x y z (fractional)
Rb  0.186  0.198  0.919
Rb  0.316  0.581  0.633
Rb  0.829  0.912  0.658
Hg  0.906  0.535  0.812
Rb  0.684  0.419  0.367
Rb  0.171  0.088  0.342
Rb  0.814  0.802  0.081
Hg  0.094  0.465  0.188
O  0.000  0.000  0.000
Rb  0.267  0.802  0.081
Rb  0.733  0.198  0.919

***

A plane-wave DFT calculation with GGA-PBE was carried out for LaPr6NdEr2 after structural relaxation.

VASP energy = -46.42 eV per formula unit
Total moment = 0.000 μB/atom

abc: 9.877 9.020 9.020
angles: 116.96 94.13 94.13
Element x y z (fractional)
Pr  0.444  0.242  0.893
Pr  0.380  0.512  0.297
Pr  0.056  0.107  0.758
La  0.250  0.406  0.594
Pr  0.620  0.488  0.703
Pr  0.880  0.297  0.512
Pr  0.319  0.984  0.436
Er  0.951  0.709  0.804
Pr  0.819  0.436  0.984
Pr  0.556  0.758  0.107
Pr  0.944  0.893  0.242
La  0.750  0.594  0.406
Er  0.549  0.196  0.291
Nd  0.750  0.032  0.968
Er  0.049  0.291  0.196
Nd  0.250  0.968  0.032
Pr  0.181  0.564  0.016
Er  0.451  0.804  0.709
Pr  0.681  0.016  0.564
Pr  0.120  0.703  0.488

***

A plane-wave DFT calculation with GGA-PBE was carried out for TaTlNi2 after structural relaxation.

VASP energy = -25.01 eV per formula unit
Total moment = 0.000 μB/atom
Excess energy over the best structure of this formula in the dataset = 177 meV per atom

abc: 4.433 4.433 5.237
angles: 78.87 78.87 41.29
Element x y z (fractional)
Ta  0.750  0.750  0.750
Ni  0.486  0.486  0.564
Ni  0.014  0.014  0.936
Tl  0.250  0.250  0.250

***

A plane-wave DFT calculation with GGA-PBE was carried out for LiNiGeIr after structural relaxation.

VASP energy = -22.66 eV per formula unit
Total moment = 0.000 μB/atom

abc: 4.048 4.048 4.174
angles: 119.01 119.01 90.00
Element x y z (fractional)
Li  0.750  0.250  0.500
Ni  0.000  0.000  0.000
Ge  0.250  0.750  0.500
Ir  0.500  0.500  0.000

***

A plane-wave DFT calculation with GGA-PBE was carried out for CuBi3Rh after structural relaxation.

VASP energy = -20.29 eV per formula unit
Total moment = 0.000 μB/atom
Excess energy over the best structure of this formula in the dataset = 508 meV per atom

abc: 5.300 5.300 5.300
angles: 90.00 90.00 90.00
Element x y z (fractional)
Cu  0.500  0.500  0.500
Bi  0.000  0.000  0.500
Bi  0.000  0.500  0.000
Rh  0.000  0.000  0.000
Bi  0.500  0.000  0.000

***

A plane-wave DFT calculation with GGA-PBE was carried out for HgTeMo2 after structural relaxation.

VASP energy = -23.01 eV per formula unit
Total moment = 0.000 μB/atom
Excess energy over the best structure of this formula in the dataset = 241 meV per atom
ΔE_f (raw) = 0.523 eV per atom

abc: 5.431 5.431 5.094
angles: 69.93 69.93 35.05
Element x y z (fractional)
Te  0.486  0.486  0.545
Mo  0.034  0.034  0.025
Mo  0.708  0.708  0.739
Hg  0.273  0.273  0.191